# 1
12
Lattice="5.438 0.000 0.000 -2.719 4.710 0.000 0.000 0.000 8.881" Properties=species:S:1:pos:R:3 comment="Y3HgPt8, optimized geometry, DFT PBE-GGA" m_tot_mub_per_cell=0.000 ef_ev_per_atom=-0.899 pbc="T T T"
Y 2.719 1.570 4.051
Y 0.000 0.000 8.040
Y 2.719 1.570 0.631
Pt -1.381 3.937 2.211
Pt 4.062 2.345 6.707
Pt 0.000 1.545 2.211
Pt 0.000 3.140 0.040
Pt 2.719 0.019 6.707
Pt 0.000 3.140 4.459
Pt 1.381 3.937 2.211
Pt 1.376 2.345 6.707
Hg 0.000 0.000 4.871

***

# 2
4
Lattice="4.245 0.000 0.000 0.000 4.245 0.000 0.000 0.000 4.901" Properties=species:S:1:pos:R:3 comment="YHg2Pt, optimized geometry, DFT PBE-GGA" m_tot_mub_per_cell=0.000 ef_ev_per_atom=-0.454 pbc="T T T"
Hg 2.122 2.122 0.000
Hg 0.000 0.000 0.000
Pt 2.122 0.000 2.451
Y 0.000 2.122 2.451

***

# 3
16
Lattice="5.823 0.000 0.000 0.000 7.409 -4.278 0.000 0.000 8.556" Properties=species:S:1:pos:R:3 comment="Y3Hg2Pt3, optimized geometry, DFT PBE-GGA" m_tot_mub_per_cell=0.000 ef_ev_per_atom=-0.860 pbc="T T T"
Pt 1.456 2.714 -1.567
Pt 4.367 4.695 -2.711
Pt 4.367 2.714 1.567
Pt 4.367 0.000 5.421
Pt 1.456 0.000 3.134
Pt 1.456 4.695 2.711
Hg 0.000 4.940 0.000
Hg 2.911 2.470 4.278
Hg 2.911 4.940 0.000
Hg 0.000 2.470 4.278
Y 1.456 5.285 -3.051
Y 1.456 2.124 1.227
Y 4.367 5.285 3.051
Y 4.367 0.000 2.453
Y 4.367 2.124 -1.227
Y 1.456 0.000 6.102

***

Number 1: total DFT energy (no corrections) -6.5675 eV per atom. Number 2: total DFT energy (no corrections) -3.7315 eV per atom. Number 3: total DFT energy (no corrections) -5.6247 eV per atom.